No. 1
SrPPd3: relaxed, PBE-GGA.

Cell and atoms, written as POSCAR:
```
SrPPd3
1.0
5.0930 0.0000 0.0000
0.0000 5.0930 0.0000
0.0000 0.0000 5.0930
Sr P Pd
1 1 3
Direct
0.0000 0.0000 0.0000
0.5000 0.5000 0.5000
0.0000 0.0000 0.5000
0.0000 0.5000 0.0000
0.5000 0.0000 0.0000
```

Formation enthalpy at 0 K (kJ/mol of formula units): 610
ΔE to the lowest computed polymorph (eV per formula unit): 10.26

No. 2
SrPPd3: relaxed, PBE-GGA.

Cell and atoms, written as POSCAR:
```
SrPPd3
1.0
7.5371 0.0000 0.0000
0.0000 6.4622 0.0000
-2.2474 0.0000 8.0947
Sr P Pd
4 4 12
Direct
0.1494 0.0812 0.2211
0.1494 0.4188 0.7211
0.8506 0.5812 0.2789
0.8506 0.9188 0.7789
0.4387 0.7484 0.6109
0.4387 0.7516 0.1109
0.5613 0.2484 0.8891
0.5613 0.2516 0.3891
0.1337 0.6461 0.0464
0.1337 0.8539 0.5464
0.3244 0.5286 0.3802
0.3244 0.9714 0.8802
0.4449 0.1279 0.6115
0.4449 0.3721 0.1115
0.5551 0.6279 0.8885
0.5551 0.8721 0.3885
0.6756 0.0286 0.1198
0.6756 0.4714 0.6198
0.8663 0.1461 0.4536
0.8663 0.3539 0.9536
```

Formation enthalpy at 0 K (kJ/mol of formula units): -303
ΔE to the lowest computed polymorph (eV per formula unit): 0.81

No. 3
Sr2PPd6: relaxed, PBE-GGA.

Cell and atoms, written as POSCAR:
```
Sr2PPd6
1.0
5.1318 -2.9341 0.0000
5.1318 2.9341 0.0000
-1.6831 0.0000 5.6735
Sr P Pd
2 1 6
Direct
0.1325 0.1325 0.3161
0.8675 0.8675 0.6839
0.5000 0.5000 0.5000
0.1130 0.6102 0.2012
0.3830 0.3830 0.7949
0.3898 0.8870 0.7988
0.6102 0.1130 0.2012
0.6170 0.6170 0.2051
0.8870 0.3898 0.7988
```

Formation enthalpy at 0 K (kJ/mol of formula units): -523

No. 4
Sr2PPd4: relaxed, PBE-GGA.

Cell and atoms, written as POSCAR:
```
Sr2PPd4
1.0
-2.3132 2.3132 7.8732
2.3132 -2.3132 7.8732
2.3132 2.3132 -7.8732
Sr P Pd
2 1 4
Direct
0.1489 0.1489 0.0000
0.8511 0.8511 0.0000
0.5000 0.5000 0.0000
0.0000 0.5000 0.5000
0.3553 0.3553 0.0000
0.5000 0.0000 0.5000
0.6447 0.6447 0.0000
```

Formation enthalpy at 0 K (kJ/mol of formula units): -356

No. 5
SrP3Pd7: relaxed, PBE-GGA.

Cell and atoms, written as POSCAR:
```
SrP3Pd7
1.0
3.8277 2.2099 7.0215
-3.8277 2.2099 7.0215
0.0000 -4.4199 7.0215
Sr P Pd
2 6 14
Direct
0.0000 0.0000 0.0000
0.5000 0.5000 0.5000
0.0727 0.7500 0.4273
0.2500 0.5727 0.9273
0.4273 0.0727 0.7500
0.5727 0.9273 0.2500
0.7500 0.4273 0.0727
0.9273 0.2500 0.5727
0.0864 0.8439 0.6511
0.1511 0.3439 0.5864
0.1561 0.3489 0.9136
0.2500 0.2500 0.2500
0.3439 0.5864 0.1511
0.3489 0.9136 0.1561
0.4136 0.8489 0.6561
0.5864 0.1511 0.3439
0.6511 0.0864 0.8439
0.6561 0.4136 0.8489
0.7500 0.7500 0.7500
0.8439 0.6511 0.0864
0.8489 0.6561 0.4136
0.9136 0.1561 0.3489
```

Formation enthalpy at 0 K (kJ/mol of formula units): -511

No. 6
SrP2Pd3: relaxed, PBE-GGA.

Cell and atoms, written as POSCAR:
```
SrP2Pd3
1.0
7.6696 -2.0439 0.0000
7.6696 2.0439 0.0000
-3.0823 0.0000 6.7856
Sr P Pd
2 4 6
Direct
0.1578 0.1578 0.0688
0.8422 0.8422 0.9312
0.1823 0.1823 0.6694
0.4829 0.4829 0.8404
0.5171 0.5171 0.1596
0.8177 0.8177 0.3306
0.0453 0.0453 0.3525
0.3161 0.3161 0.5781
0.4046 0.4046 0.3139
0.5954 0.5954 0.6861
0.6839 0.6839 0.4219
0.9547 0.9547 0.6475
```

Formation enthalpy at 0 K (kJ/mol of formula units): -433

No. 7
SrTbP2Pd2: relaxed, PBE-GGA.

Cell and atoms, written as POSCAR:
```
SrTbP2Pd2
1.0
4.1736 0.0000 0.0000
-2.0868 3.6144 0.0000
0.0000 0.0000 8.2248
Sr Tb P Pd
1 1 2 2
Direct
0.0000 0.0000 0.0000
0.0000 0.0000 0.5000
0.3333 0.6667 0.2742
0.6667 0.3333 0.7258
0.3333 0.6667 0.7329
0.6667 0.3333 0.2671
```

Formation enthalpy at 0 K (kJ/mol of formula units): -667

No. 8
SrTbP2Pd4: relaxed, PBE-GGA.

Cell and atoms, written as POSCAR:
```
SrTbP2Pd4
1.0
4.1059 0.0000 0.0000
0.0000 4.1059 0.0000
0.0000 0.0000 9.8392
Sr Tb P Pd
1 1 2 4
Direct
0.0000 0.0000 0.0000
0.0000 0.0000 0.5000
0.5000 0.5000 0.1672
0.5000 0.5000 0.8328
0.0000 0.5000 0.2872
0.0000 0.5000 0.7128
0.5000 0.0000 0.2872
0.5000 0.0000 0.7128
```

Formation enthalpy at 0 K (kJ/mol of formula units): -580

No. 9
SrTcPPd: relaxed, PBE-GGA.

Cell and atoms, written as POSCAR:
```
SrTcPPd
1.0
3.9163 0.0000 0.0000
0.0000 3.9163 0.0000
0.0000 0.0000 10.9534
Sr Tc P Pd
2 2 2 2
Direct
0.2500 0.2500 0.2241
0.7500 0.7500 0.7759
0.2500 0.7500 0.5000
0.7500 0.2500 0.5000
0.2500 0.2500 0.6269
0.7500 0.7500 0.3731
0.2500 0.7500 0.0000
0.7500 0.2500 0.0000
```

Formation enthalpy at 0 K (kJ/mol of formula units): -228

No. 10
SrTi2PPd: relaxed, PBE-GGA.

Cell and atoms, written as POSCAR:
```
SrTi2PPd
1.0
5.0098 0.0000 0.0000
0.0000 5.0098 0.0000
0.0000 0.0000 4.8680
Sr Ti P Pd
1 2 1 1
Direct
0.0000 0.0000 0.0000
0.0000 0.5000 0.0000
0.5000 0.0000 0.0000
0.5000 0.5000 0.5000
0.0000 0.0000 0.5000
```

Formation enthalpy at 0 K (kJ/mol of formula units): 911

No. 11
SrTlP2Pd4: relaxed, PBE-GGA.

Cell and atoms, written as POSCAR:
```
SrTlP2Pd4
1.0
4.0781 0.0000 0.0000
0.0000 4.0781 0.0000
0.0000 0.0000 9.8949
Sr Tl P Pd
1 1 2 4
Direct
0.0000 0.0000 0.0000
0.0000 0.0000 0.5000
0.5000 0.5000 0.1711
0.5000 0.5000 0.8289
0.0000 0.5000 0.2880
0.0000 0.5000 0.7120
0.5000 0.0000 0.2880
0.5000 0.0000 0.7120
```

Formation enthalpy at 0 K (kJ/mol of formula units): -420

No. 12
SrTmP2Pd4: relaxed, PBE-GGA.

Cell and atoms, written as POSCAR:
```
SrTmP2Pd4
1.0
4.0907 0.0000 0.0000
0.0000 4.0907 0.0000
0.0000 0.0000 9.7747
Sr Tm P Pd
1 1 2 4
Direct
0.0000 0.0000 0.0000
0.0000 0.0000 0.5000
0.5000 0.5000 0.1695
0.5000 0.5000 0.8305
0.0000 0.5000 0.2914
0.0000 0.5000 0.7086
0.5000 0.0000 0.2914
0.5000 0.0000 0.7086
```

Formation enthalpy at 0 K (kJ/mol of formula units): -591

D(E_F): 2.905 8.198 4.308 6.806 16.396 5.525 1.612 5.054 5.692 7.587 5.527 4.867 (states/eV per cell)